This record from OQMD via LeMat-Bulk describes a relaxed structure of KHoNiTe3. The functional is PBE.

```
KHoNiTe3
1.0
11.675 0.000 0.000
0.000 4.492 0.000
0.000 0.000 13.628
K Ho Ni Te
4 4 4 12
Cartesian
1.913 1.123 0.078 K
3.924 3.369 6.892 K
7.751 1.123 6.736 K
9.761 3.369 13.550 K
0.006 3.369 9.115 Ho
5.831 1.123 2.301 Ho
5.844 3.369 11.327 Ho
11.668 1.123 4.513 Ho
2.637 1.123 9.735 Ni
3.200 3.369 2.921 Ni
8.475 1.123 10.707 Ni
9.037 3.369 3.893 Ni
0.642 3.369 2.509 Te
1.359 1.123 7.517 Te
2.628 3.369 10.881 Te
3.209 1.123 4.067 Te
4.478 3.369 0.703 Te
5.195 1.123 9.323 Te
6.479 3.369 4.304 Te
7.196 1.123 12.924 Te
8.465 3.369 9.561 Te
9.047 1.123 2.747 Te
10.316 3.369 6.110 Te
11.033 1.123 11.118 Te
```

Results
**DFT total energy**: -4.2803 eV per atom



This record from OQMD via LeMat-Bulk describes a relaxed structure of HoZr2Ga2. The functional is PBE.

```
HoZr2Ga2
1.0
7.589 0.000 0.000
0.000 7.589 0.000
0.000 0.000 3.701
Ho Zr Ga
2 4 4
Cartesian
0.000 0.000 0.000 Ho
3.795 3.795 0.000 Ho
1.334 2.460 1.851 Zr
2.460 6.255 1.851 Zr
5.129 1.334 1.851 Zr
6.255 5.129 1.851 Zr
0.912 4.706 0.000 Ga
2.883 0.912 0.000 Ga
4.706 6.677 0.000 Ga
6.677 2.883 0.000 Ga
```

Results
**DFT total energy**: -6.0193 eV per atom



DFT total energy of number 1 (KHoNiTe3)? -4.2803 eV per atom



Which value of DFT total energy does entry 1 give? -4.2803 eV per atom



Which of these has the highest DFT total energy? KHoNiTe3



Which of these has the highest DFT total energy? KHoNiTe3